# 1
# CsInSi | Alexandria via LeMat-Bulk | GGA-PBE | relaxed
# * energy relative to the elements, uncorrected: 0.006 eV per atom
data_CsInSi
_space_group_name_H-M_alt 'P -6 m 2'
_space_group_IT_number 187
_space_group_name_Hall 'P -6 2'
_cell_length_a 4.5381
_cell_length_b 4.5381
_cell_length_c 6.2289
_cell_angle_alpha 90.00
_cell_angle_beta 90.00
_cell_angle_gamma 120.00
loop_
_atom_site_label
_atom_site_type_symbol
_atom_site_fract_x
_atom_site_fract_y
_atom_site_fract_z
Cs1 Cs 0.0000 0.0000 0.0000
In1 In 0.6667 0.3333 0.5000
Si1 Si 0.3333 0.6667 0.5000

# 2
# Lu2SnPd | Alexandria via LeMat-Bulk | GGA-PBE | relaxed
# * ΔE_f: -768 meV per atom
data_Lu2SnPd
_space_group_name_H-M_alt 'P 4/m m m'
_space_group_IT_number 123
_space_group_name_Hall '-P 4 2'
_cell_length_a 3.5039
_cell_length_b 3.5039
_cell_length_c 7.4558
_cell_angle_alpha 90.00
_cell_angle_beta 90.00
_cell_angle_gamma 90.00
loop_
_atom_site_label
_atom_site_type_symbol
_atom_site_fract_x
_atom_site_fract_y
_atom_site_fract_z
Lu1 Lu 0.0000 0.0000 0.2218
Sn1 Sn 0.5000 0.5000 0.5000
Pd1 Pd 0.5000 0.5000 0.0000

# 3
# Pr4SmTm7 | Alexandria via LeMat-Bulk | GGA-PBE | relaxed
# * polymorph energy (0 for the lowest one): 0 meV/atom
# * ΔE_f: 25 meV per atom
data_Pr4SmTm7
_space_group_name_H-M_alt 'P -1'
_space_group_IT_number 2
_cell_length_a 7.1353
_cell_length_b 7.9769
_cell_length_c 7.9828
_cell_angle_alpha 72.81
_cell_angle_beta 63.62
_cell_angle_gamma 77.53
loop_
_space_group_symop_operation_xyz
'x,y,z'
'-x,-y,-z'
loop_
_atom_site_label
_atom_site_type_symbol
_atom_site_fract_x
_atom_site_fract_y
_atom_site_fract_z
Pr1 Pr 0.0827 0.3324 0.1696
Pr2 Pr 0.3349 0.3313 0.6643
Sm1 Sm 0.5000 0.0000 0.0000
Tm1 Tm 0.0000 0.0000 0.0000
Tm2 Tm 0.1672 0.6696 0.3306
Tm3 Tm 0.2492 0.9988 0.5017
Tm4 Tm 0.4155 0.6681 0.8349

# 4
# NdHfP2 | Alexandria via LeMat-Bulk | GGA-PBE | relaxed
# * polymorph energy (0 for the lowest one): 95 meV/atom
# * ΔE_f: -1307 meV per atom
data_NdHfP2
_space_group_name_H-M_alt 'R 3 m'
_space_group_IT_number 160
_space_group_name_Hall 'R 3 -2"'
_cell_length_a 3.8318
_cell_length_b 3.8318
_cell_length_c 20.3461
_cell_angle_alpha 90.00
_cell_angle_beta 90.00
_cell_angle_gamma 120.00
loop_
_atom_site_label
_atom_site_type_symbol
_atom_site_fract_x
_atom_site_fract_y
_atom_site_fract_z
Nd1 Nd 0.0000 0.0000 0.0000
Hf1 Hf 0.0000 0.0000 0.1738
P1 P 0.0000 0.0000 0.5767
P2 P 0.0000 0.0000 0.7649

# 5
# Pm6Sm3Er2Mg | Alexandria via LeMat-Bulk | GGA-PBE | relaxed
# * ΔE_f: 27 meV per atom
data_Pm6Sm3Er2Mg
_space_group_name_H-M_alt 'C 1 2/m 1'
_space_group_IT_number 12
_cell_length_a 6.2433
_cell_length_b 10.8267
_cell_length_c 11.8093
_cell_angle_alpha 90.00
_cell_angle_beta 100.23
_cell_angle_gamma 90.00
loop_
_space_group_symop_operation_xyz
'x,y,z'
'-x,-y,-z'
'-x,y,-z'
'x,-y,z'
'x+1/2,y+1/2,z'
'-x+1/2,-y+1/2,-z'
'-x+1/2,y+1/2,-z'
'x+1/2,-y+1/2,z'
loop_
_atom_site_label
_atom_site_type_symbol
_atom_site_fract_x
_atom_site_fract_y
_atom_site_fract_z
Pm1 Pm 0.2468 0.1661 0.2449
Pm2 Pm 0.2484 0.5000 0.2464
Sm1 Sm 0.0000 0.1667 0.5000
Sm2 Sm 0.0000 0.5000 0.5000
Er1 Er 0.0000 0.3336 0.0000
Mg1 Mg 0.0000 0.0000 0.0000

# 6
# La3Cd7Ga4 | Alexandria via LeMat-Bulk | GGA-PBE | relaxed
# * ΔE_f: -405 meV per atom
data_La3Cd7Ga4
_space_group_name_H-M_alt 'C 1 2/m 1'
_space_group_IT_number 12
_cell_length_a 17.2087
_cell_length_b 4.6602
_cell_length_c 10.1880
_cell_angle_alpha 90.00
_cell_angle_beta 125.78
_cell_angle_gamma 90.00
loop_
_space_group_symop_operation_xyz
'x,y,z'
'-x,-y,-z'
'-x,y,-z'
'x,-y,z'
'x+1/2,y+1/2,z'
'-x+1/2,-y+1/2,-z'
'-x+1/2,y+1/2,-z'
'x+1/2,-y+1/2,z'
loop_
_atom_site_label
_atom_site_type_symbol
_atom_site_fract_x
_atom_site_fract_y
_atom_site_fract_z
La1 La 0.0000 0.0000 0.0000
La2 La 0.2016 0.5000 0.7154
Cd1 Cd 0.0000 0.0000 0.5000
Cd2 Cd 0.0101 0.5000 0.3159
Cd3 Cd 0.1582 0.0000 0.4292
Cd4 Cd 0.1579 0.5000 0.0127
Ga1 Ga 0.1406 0.0000 0.8562
Ga2 Ga 0.1553 0.5000 0.2722

# 7
# HoEr3In | Alexandria via LeMat-Bulk | GGA-PBE | relaxed
# * polymorph energy (0 for the lowest one): 2 meV/atom
# * ΔE_f: -181 meV per atom
data_HoEr3In
_space_group_name_H-M_alt 'C m c m'
_space_group_IT_number 63
_space_group_name_Hall '-C 2c 2'
_cell_length_a 4.7756
_cell_length_b 24.9142
_cell_length_c 4.7789
_cell_angle_alpha 90.00
_cell_angle_beta 90.00
_cell_angle_gamma 90.00
loop_
_atom_site_label
_atom_site_type_symbol
_atom_site_fract_x
_atom_site_fract_y
_atom_site_fract_z
Ho1 Ho 0.0000 0.1496 0.2500
Er1 Er 0.0000 0.0488 0.7500
Er2 Er 0.0000 0.2501 0.7500
Er3 Er 0.0000 0.4479 0.7500
In1 In 0.0000 0.3482 0.2500

# 8
# Zr5Tl2Cd | Alexandria via LeMat-Bulk | GGA-PBE | relaxed
# * ΔE_f: -58 meV per atom
data_Zr5Tl2Cd
_space_group_name_H-M_alt 'I 4/m m m'
_space_group_IT_number 139
_space_group_name_Hall '-I 4 2'
_cell_length_a 4.5211
_cell_length_b 4.5211
_cell_length_c 17.7463
_cell_angle_alpha 90.00
_cell_angle_beta 90.00
_cell_angle_gamma 90.00
loop_
_atom_site_label
_atom_site_type_symbol
_atom_site_fract_x
_atom_site_fract_y
_atom_site_fract_z
Zr1 Zr 0.0000 0.0000 0.0000
Zr2 Zr 0.0000 0.5000 0.1240
Tl1 Tl 0.0000 0.0000 0.2499
Cd1 Cd 0.0000 0.0000 0.5000

# 9
# HPd2F | Alexandria via LeMat-Bulk | GGA-PBE | relaxed
# * final energy: -3.69 eV per atom
data_HPd2F
_space_group_name_H-M_alt 'F m -3 m'
_space_group_IT_number 225
_space_group_name_Hall '-F 4 2 3'
_cell_length_a 5.6915
_cell_length_b 5.6915
_cell_length_c 5.6915
_cell_angle_alpha 90.00
_cell_angle_beta 90.00
_cell_angle_gamma 90.00
loop_
_atom_site_label
_atom_site_type_symbol
_atom_site_fract_x
_atom_site_fract_y
_atom_site_fract_z
H1 H 0.0000 0.0000 0.0000
Pd1 Pd 0.2500 0.2500 0.2500
F1 F 0.0000 0.0000 0.5000

# 10
# Rb2LaPuSe4 | Alexandria via LeMat-Bulk | GGA-PBE | relaxed
# * energy relative to the elements, uncorrected: -1.615 eV per atom
data_Rb2LaPuSe4
_space_group_name_H-M_alt 'P 1 2/m 1'
_space_group_IT_number 10
_cell_length_a 7.6474
_cell_length_b 4.4038
_cell_length_c 8.3651
_cell_angle_alpha 90.00
_cell_angle_beta 107.76
_cell_angle_gamma 90.00
loop_
_space_group_symop_operation_xyz
'x,y,z'
'-x,-y,-z'
'-x,y,-z'
'x,-y,z'
loop_
_atom_site_label
_atom_site_type_symbol
_atom_site_fract_x
_atom_site_fract_y
_atom_site_fract_z
Rb1 Rb 0.0000 0.0000 0.0000
Rb2 Rb 0.5000 0.5000 0.0000
La1 La 0.0000 0.5000 0.5000
Pu1 Pu 0.5000 0.0000 0.5000
Se1 Se 0.2396 0.0000 0.7008
Se2 Se 0.2762 0.5000 0.3047

# 11
# Ru2AuI | Alexandria via LeMat-Bulk | GGA-PBE | relaxed
# * polymorph energy (0 for the lowest one): 390 meV/atom
# * energy relative to the elements, uncorrected: 1.259 eV per atom
data_Ru2AuI
_space_group_name_H-M_alt 'I -4 2 d'
_space_group_IT_number 122
_space_group_name_Hall 'I -4 2bw'
_cell_length_a 5.5917
_cell_length_b 5.5917
_cell_length_c 12.7093
_cell_angle_alpha 90.00
_cell_angle_beta 90.00
_cell_angle_gamma 90.00
loop_
_atom_site_label
_atom_site_type_symbol
_atom_site_fract_x
_atom_site_fract_y
_atom_site_fract_z
Ru1 Ru 0.2409 0.2500 0.1250
Au1 Au 0.0000 0.0000 0.5000
I1 I 0.0000 0.0000 0.0000

# 12
# LiCuRe4 | Alexandria via LeMat-Bulk | GGA-PBE | relaxed
# * ΔE_f: 634 meV per atom
data_LiCuRe4
_space_group_name_H-M_alt 'F -4 3 m'
_space_group_IT_number 216
_space_group_name_Hall 'F -4 2 3'
_cell_length_a 7.3112
_cell_length_b 7.3112
_cell_length_c 7.3112
_cell_angle_alpha 90.00
_cell_angle_beta 90.00
_cell_angle_gamma 90.00
loop_
_atom_site_label
_atom_site_type_symbol
_atom_site_fract_x
_atom_site_fract_y
_atom_site_fract_z
Li1 Li 0.0000 0.0000 0.0000
Cu1 Cu 0.2500 0.2500 0.7500
Re1 Re 0.1249 0.1249 0.3751

- What is the formula in the twelfth record?
  LiCuRe4

Repeat the second record exactly.
# Lu2SnPd | Alexandria via LeMat-Bulk | GGA-PBE | relaxed
# * ΔE_f: -768 meV per atom
data_Lu2SnPd
_space_group_name_H-M_alt 'P 4/m m m'
_space_group_IT_number 123
_space_group_name_Hall '-P 4 2'
_cell_length_a 3.5039
_cell_length_b 3.5039
_cell_length_c 7.4558
_cell_angle_alpha 90.00
_cell_angle_beta 90.00
_cell_angle_gamma 90.00
loop_
_atom_site_label
_atom_site_type_symbol
_atom_site_fract_x
_atom_site_fract_y
_atom_site_fract_z
Lu1 Lu 0.0000 0.0000 0.2218
Sn1 Sn 0.5000 0.5000 0.5000
Pd1 Pd 0.5000 0.5000 0.0000